# NaMgNb | the Alexandria database | PBE | optimized geometry
# * crystal system: tetragonal
# * VASP energy: -4.15 eV/atom
# * density of states at the Fermi level: 0.640 states/eV/atom
# * total magnetic moment: 0.0 μB per formula unit
data_NaMgNb
_space_group_name_H-M_alt 'P 4/n m m'
_space_group_IT_number 129
_cell_length_a 3.476
_cell_length_b 3.476
_cell_length_c 12.524
_cell_angle_alpha 90.00
_cell_angle_beta 90.00
_cell_angle_gamma 90.00
loop_
_space_group_symop_operation_xyz
'x,y,z'
'-x,-y,-z'
'-y+1/2,x,z'
'y+1/2,-x,-z'
'-x+1/2,-y+1/2,z'
'x+1/2,y+1/2,-z'
'y,-x+1/2,z'
'-y,x+1/2,-z'
'x+1/2,-y,-z'
'-x+1/2,y,z'
'-y,-x,-z'
'y,x,z'
'-x,y+1/2,-z'
'x,-y+1/2,z'
'y+1/2,x+1/2,-z'
'-y+1/2,-x+1/2,z'
loop_
_atom_site_label
_atom_site_type_symbol
_atom_site_fract_x
_atom_site_fract_y
_atom_site_fract_z
_atom_site_occupancy
Na1 Na 0.250 0.250 0.112 1
Mg1 Mg 0.250 0.250 0.694 1
Nb1 Nb 0.250 0.250 0.452 1

# Ce6InIr | the Alexandria database | PBE | optimized geometry
# * crystal system: monoclinic
# * VASP energy: -6.08 eV/atom
# * density of states at the Fermi level: 3.114 states/eV/atom
# * total magnetic moment: 3.4 μB per formula unit
data_Ce6InIr
_space_group_name_H-M_alt 'C 1 2/m 1'
_space_group_IT_number 12
_cell_length_a 7.864
_cell_length_b 9.663
_cell_length_c 6.339
_cell_angle_alpha 90.00
_cell_angle_beta 108.32
_cell_angle_gamma 90.00
loop_
_space_group_symop_operation_xyz
'x,y,z'
'-x,-y,-z'
'-x,y,-z'
'x,-y,z'
'x+1/2,y+1/2,z'
'-x+1/2,-y+1/2,-z'
'-x+1/2,y+1/2,-z'
'x+1/2,-y+1/2,z'
loop_
_atom_site_label
_atom_site_type_symbol
_atom_site_fract_x
_atom_site_fract_y
_atom_site_fract_z
_atom_site_occupancy
Ce1 Ce 0.122 0.209 0.309 1
Ce2 Ce 0.182 0.500 0.098 1
In1 In 0.000 0.500 0.500 1
Ir1 Ir 0.000 0.000 0.000 1

# Sr3Tb3TmS8 | the Alexandria database | PBE | optimized geometry
# * crystal system: trigonal
# * density of states at the Fermi level: 0.297 states/eV/atom
# * formation energy (no corrections): -2.0905 eV/atom
# * total magnetic moment: 0.0 μB per formula unit
data_Sr3Tb3TmS8
_space_group_name_H-M_alt 'R -3 m'
_space_group_IT_number 166
_space_group_name_Hall '-R 3 2"'
_cell_length_a 8.0096
_cell_length_b 8.0096
_cell_length_c 20.5924
_cell_angle_alpha 90.00
_cell_angle_beta 90.00
_cell_angle_gamma 120.00
loop_
_atom_site_label
_atom_site_type_symbol
_atom_site_fract_x
_atom_site_fract_y
_atom_site_fract_z
_atom_site_occupancy
Sr1 Sr 0.0000 0.5000 0.0000 1
Tb1 Tb 0.0000 0.5000 0.5000 1
Tm1 Tm 0.0000 0.0000 0.5000 1
S1 S 0.0000 0.0000 0.2435 1
S2 S 0.0058 0.5029 0.2407 1

# HfCuPtI2 | the Alexandria database | PBE | optimized geometry
# * crystal system: tetragonal
# * density of states at the Fermi level: 0.867 states/eV/atom
# * formation energy (no corrections): 0.8447 eV/atom
# * total magnetic moment: 0.0 μB per formula unit
data_HfCuPtI2
_space_group_name_H-M_alt 'P 4/m m m'
_space_group_IT_number 123
_space_group_name_Hall '-P 4 2'
_cell_length_a 5.347
_cell_length_b 5.347
_cell_length_c 4.745
_cell_angle_alpha 90.00
_cell_angle_beta 90.00
_cell_angle_gamma 90.00
loop_
_atom_site_label
_atom_site_type_symbol
_atom_site_fract_x
_atom_site_fract_y
_atom_site_fract_z
_atom_site_occupancy
Hf1 Hf 0.000 0.000 0.000 1
Cu1 Cu 0.500 0.500 0.000 1
Pt1 Pt 0.500 0.500 0.500 1
I1 I 0.000 0.500 0.500 1

# Dy5CdPd4 | the Alexandria database | PBE | optimized geometry
# * crystal system: tetragonal
# * VASP energy: -5.24 eV/atom
# * density of states at the Fermi level: 0.803 states/eV/atom
# * total magnetic moment: 0.0 μB per formula unit
data_Dy5CdPd4
_space_group_name_H-M_alt 'P 4/m m m'
_space_group_IT_number 123
_space_group_name_Hall '-P 4 2'
_cell_length_a 3.529
_cell_length_b 3.529
_cell_length_c 18.085
_cell_angle_alpha 90.00
_cell_angle_beta 90.00
_cell_angle_gamma 90.00
loop_
_atom_site_label
_atom_site_type_symbol
_atom_site_fract_x
_atom_site_fract_y
_atom_site_fract_z
_atom_site_occupancy
Dy1 Dy 0.000 0.000 0.000 1
Dy2 Dy 0.000 0.000 0.192 1
Dy3 Dy 0.000 0.000 0.383 1
Cd1 Cd 0.500 0.500 0.500 1
Pd1 Pd 0.500 0.500 0.096 1
Pd2 Pd 0.500 0.500 0.291 1

# LaDy8Ho5 | the Alexandria database | PBE | optimized geometry
# * crystal system: tetragonal
# * VASP energy: -4.37 eV/atom
# * density of states at the Fermi level: 1.553 states/eV/atom
# * total magnetic moment: 0.0 μB per formula unit
data_LaDy8Ho5
_space_group_name_H-M_alt 'I -4'
_space_group_IT_number 82
_cell_length_a 9.450
_cell_length_b 9.450
_cell_length_c 10.283
_cell_angle_alpha 90.00
_cell_angle_beta 90.00
_cell_angle_gamma 90.00
loop_
_space_group_symop_operation_xyz
'x,y,z'
'y,-x,-z'
'-x,-y,z'
'-y,x,-z'
'x+1/2,y+1/2,z+1/2'
'y+1/2,-x+1/2,-z+1/2'
'-x+1/2,-y+1/2,z+1/2'
'-y+1/2,x+1/2,-z+1/2'
loop_
_atom_site_label
_atom_site_type_symbol
_atom_site_fract_x
_atom_site_fract_y
_atom_site_fract_z
_atom_site_occupancy
La1 La 0.000 0.000 0.000 1
Dy1 Dy 0.072 0.178 0.356 1
Dy2 Dy 0.087 0.328 0.002 1
Ho1 Ho 0.000 0.500 0.250 1
Ho2 Ho 0.114 0.291 0.678 1

# PmAsO | the Alexandria database | PBE | optimized geometry
# * crystal system: orthorhombic
# * density of states at the Fermi level: 0.571 states/eV/atom
# * formation energy (no corrections): -2.0733 eV/atom
# * total magnetic moment: 0.0 μB per formula unit
data_PmAsO
_space_group_name_H-M_alt 'I m m m'
_space_group_IT_number 71
_space_group_name_Hall '-I 2 2'
_cell_length_a 3.885
_cell_length_b 4.767
_cell_length_c 13.370
_cell_angle_alpha 90.00
_cell_angle_beta 90.00
_cell_angle_gamma 90.00
loop_
_atom_site_label
_atom_site_type_symbol
_atom_site_fract_x
_atom_site_fract_y
_atom_site_fract_z
_atom_site_occupancy
Pm1 Pm 0.000 0.000 0.174 1
As1 As 0.000 0.248 0.500 1
O1 O 0.000 0.500 0.235 1

# Ca2PdI | the Alexandria database | PBE | optimized geometry
# * crystal system: tetragonal
# * density of states at the Fermi level: 0.401 states/eV/atom
# * formation energy (no corrections): -0.8379 eV/atom
# * total magnetic moment: 0.0 μB per formula unit
data_Ca2PdI
_space_group_name_H-M_alt 'P 4/m m m'
_space_group_IT_number 123
_space_group_name_Hall '-P 4 2'
_cell_length_a 3.732
_cell_length_b 3.732
_cell_length_c 7.984
_cell_angle_alpha 90.00
_cell_angle_beta 90.00
_cell_angle_gamma 90.00
loop_
_atom_site_label
_atom_site_type_symbol
_atom_site_fract_x
_atom_site_fract_y
_atom_site_fract_z
_atom_site_occupancy
Ca1 Ca 0.000 0.000 0.206 1
Pd1 Pd 0.500 0.500 0.000 1
I1 I 0.500 0.500 0.500 1

# ReHgOF2 | the Alexandria database | PBE | optimized geometry
# * crystal system: tetragonal
# * density of states at the Fermi level: 0.285 states/eV/atom
# * formation energy (no corrections): 0.4375 eV/atom
# * total magnetic moment: 5.2 μB per formula unit
data_ReHgOF2
_space_group_name_H-M_alt 'P 4/m m m'
_space_group_IT_number 123
_space_group_name_Hall '-P 4 2'
_cell_length_a 4.507
_cell_length_b 4.507
_cell_length_c 4.313
_cell_angle_alpha 90.00
_cell_angle_beta 90.00
_cell_angle_gamma 90.00
loop_
_atom_site_label
_atom_site_type_symbol
_atom_site_fract_x
_atom_site_fract_y
_atom_site_fract_z
_atom_site_occupancy
Re1 Re 0.000 0.000 0.000 1
Hg1 Hg 0.500 0.500 0.500 1
O1 O 0.500 0.500 0.000 1
F1 F 0.000 0.500 0.500 1

# SmDyBi | the Alexandria database | PBE | optimized geometry
# * crystal system: orthorhombic
# * VASP energy: -4.75 eV/atom
# * density of states at the Fermi level: 0.957 states/eV/atom
# * total magnetic moment: 0.0 μB per formula unit
data_SmDyBi
_space_group_name_H-M_alt 'P m m a'
_space_group_IT_number 51
_cell_length_a 6.175
_cell_length_b 3.465
_cell_length_c 8.737
_cell_angle_alpha 90.00
_cell_angle_beta 90.00
_cell_angle_gamma 90.00
loop_
_space_group_symop_operation_xyz
'x,y,z'
'-x,-y,-z'
'-x+1/2,-y,z'
'x+1/2,y,-z'
'x+1/2,-y,-z'
'-x+1/2,y,z'
'-x,y,-z'
'x,-y,z'
loop_
_atom_site_label
_atom_site_type_symbol
_atom_site_fract_x
_atom_site_fract_y
_atom_site_fract_z
_atom_site_occupancy
Sm1 Sm 0.250 0.000 0.164 1
Dy1 Dy 0.000 0.500 0.500 1
Bi1 Bi 0.250 0.500 0.827 1

# La4Pm3Dy4 | the Alexandria database | PBE | optimized geometry
# * crystal system: orthorhombic
# * VASP energy: -4.64 eV/atom
# * density of states at the Fermi level: 1.316 states/eV/atom
# * total magnetic moment: 0.0 μB per formula unit
data_La4Pm3Dy4
_space_group_name_H-M_alt 'I m m m'
_space_group_IT_number 71
_space_group_name_Hall '-I 2 2'
_cell_length_a 3.623
_cell_length_b 9.551
_cell_length_c 22.506
_cell_angle_alpha 90.00
_cell_angle_beta 90.00
_cell_angle_gamma 90.00
loop_
_atom_site_label
_atom_site_type_symbol
_atom_site_fract_x
_atom_site_fract_y
_atom_site_fract_z
_atom_site_occupancy
La1 La 0.000 0.170 0.146 1
Pm1 Pm 0.000 0.000 0.394 1
Pm2 Pm 0.000 0.500 0.500 1
Dy1 Dy 0.000 0.317 0.000 1
Dy2 Dy 0.000 0.500 0.236 1

# Zn3CuS | the Alexandria database | PBE | optimized geometry
# * crystal system: cubic
# * density of states at the Fermi level: 0.437 states/eV/atom
# * formation energy (no corrections): 0.3851 eV/atom
# * total magnetic moment: 0.0 μB per formula unit
data_Zn3CuS
_space_group_name_H-M_alt 'P m -3 m'
_space_group_IT_number 221
_space_group_name_Hall '-P 4 2 3'
_cell_length_a 4.613
_cell_length_b 4.613
_cell_length_c 4.613
_cell_angle_alpha 90.00
_cell_angle_beta 90.00
_cell_angle_gamma 90.00
loop_
_atom_site_label
_atom_site_type_symbol
_atom_site_fract_x
_atom_site_fract_y
_atom_site_fract_z
_atom_site_occupancy
Zn1 Zn 0.000 0.000 0.500 1
Cu1 Cu 0.000 0.000 0.000 1
S1 S 0.500 0.500 0.500 1